# 1
A geometry-optimized Cd3PBr3 structure. Source: the Open Quantum Materials Database, functional PBE.

Values from the calculation:
Electronic total energy ... -2.4603 eV/atom
Space-group type ... P-3m1

Cell and atoms, written as POSCAR:
```
Cd3PBr3
1.0
7.9729 0.0000 0.0000
-3.9865 6.9048 0.0000
0.0000 0.0000 7.3137
P Cd Br
2 6 6
Cartesian
3.9865 2.3016 4.6524 P
0.0000 4.6032 2.6612 P
1.9932 3.4524 3.6568 Cd
3.9865 2.3016 7.1433 Cd
3.9865 0.0000 3.6568 Cd
0.0000 4.6032 0.1703 Cd
-1.9932 3.4524 3.6568 Cd
0.0000 0.0000 0.0000 Cd
2.0379 1.1743 1.4878 Br
5.9370 1.1777 1.4878 Br
0.0019 2.3520 5.8259 Br
3.9845 4.5528 1.4878 Br
1.9486 5.7305 5.8259 Br
-1.9506 5.7271 5.8259 Br
```

=====

# 2
A geometry-optimized Ho5Lu3Te structure. Source: the Open Quantum Materials Database, functional PBE.

Values from the calculation:
Electronic total energy ... -4.6721 eV/atom
Space-group type ... P-62m
Total moment ... 0.04 μB per formula unit
Distance to the lowest polymorph of the same formula ... 0.006 eV per atom

Cell and atoms, written as POSCAR:
```
Ho5Lu3Te
1.0
-5.2945 5.8009 4.5651
-3.6147 -5.4508 -6.3043
-0.6103 -2.6047 2.6020
Lu Ho Te
3 5 1
Cartesian
-6.7691 -1.0484 0.0392 Lu
-1.2973 -2.7984 -0.4293 Lu
-1.7583 0.2898 2.5540 Lu
-4.4798 -3.0026 -1.3802 Ho
-2.2272 -3.3585 -3.8844 Ho
-5.0397 0.7479 2.2430 Ho
-3.4198 0.1344 -0.6676 Ho
-3.2622 3.5742 2.8128 Ho
0.0000 0.0000 0.0000 Te
```

=====

# 3
A geometry-optimized Dy2Au structure. Source: the Open Quantum Materials Database, functional PBE.

Values from the calculation:
ΔE_f ... 275 meV/atom
Electronic total energy ... -3.8816 eV/atom
Space-group type ... Fd-3m
Total moment ... 0.01 μB per formula unit

Cell and atoms, written as POSCAR:
```
Dy2Au
1.0
-3.3922 -3.1546 3.8549
-4.9915 2.4503 2.3235
-5.4190 -2.0119 -1.7043
Dy Au
4 2
Cartesian
-8.6267 -1.6976 2.7963 Dy
-5.9172 -0.6916 3.6484 Dy
-6.1309 -2.9228 1.6345 Dy
-6.9306 -0.1203 0.8688 Dy
0.0000 0.0000 0.0000 Au
-3.4507 -0.6790 1.1185 Au
```

=====

# 4
A geometry-optimized YErSi2 structure. Source: the Open Quantum Materials Database, functional PBE.

Values from the calculation:
Electronic total energy ... -6.3065 eV/atom
Space-group type ... Amm2
Total moment ... 0.01 μB per formula unit

Cell and atoms, written as POSCAR:
```
YErSi2
1.0
3.8206 0.0000 0.0000
0.0000 2.1261 5.2478
0.0000 -2.1261 5.2478
Er Y Si
1 1 2
Cartesian
0.0000 0.0000 1.4731 Er
1.9103 0.0000 9.0163 Y
0.0000 0.0000 4.4462 Si
1.9103 0.0000 6.0557 Si
```